(1)
DFT (PBE-GGA) results for RbZrCu2Br8 after structural relaxation.

Calculated values
Formation energy without anion corrections   -0.95 eV/atom
Density   3.77 g/cm³

a b c (Å): 10.875 7.596 10.089
angles (deg): 90.00 94.30 90.00
Space group C2/m (No. 12)
Symmetry-distinct sites (fractional):
Rb  0.000  0.000  0.000 x2
Zr  0.000  0.000  0.500 x2
Cu  0.145  0.500  0.282 x4
Br  0.009  0.244  0.690 x8
Br  0.179  0.500  0.060 x4
Br  0.245  0.000  0.503 x4

(2)
DFT (PBE-GGA) results for RbTcPb2 after structural relaxation.

Calculated values
ΔH_f (0 K)   3.4 eV per formula unit
E above lowest polymorph   0.333 eV per atom
Density   9.10 g/cm³

a b c (Å): 7.586 7.586 7.586
angles (deg): 90.00 90.00 90.00
Space group Fm-3m (No. 225)
Symmetry-distinct sites (fractional):
Rb  0.000  0.000  0.000 x4
Tc  0.000  0.000  0.500 x4
Pb  0.250  0.250  0.250 x8

(3)
DFT (PBE-GGA) results for PmGa4Pt8 after structural relaxation.

Calculated values
ΔH_f (0 K)   -8.5 eV per formula unit
Density   15.31 g/cm³

a b c (Å): 8.878 8.878 5.463
angles (deg): 90.00 90.00 90.00
Space group I4/mmm (No. 139)
Symmetry-distinct sites (fractional):
Pm  0.000  0.000  0.000 x2
Ga  0.250  0.250  0.250 x8
Pt  0.000  0.225  0.500 x8
Pt  0.000  0.336  0.000 x8

(4)
DFT (PBE-GGA) results for Ho5Cu2Au2 after structural relaxation.

Calculated values
ΔH_f (0 K)   -4.3 eV per formula unit
Density   10.45 g/cm³

a b c (Å): 16.247 7.198 7.312
angles (deg): 90.00 90.00 90.00
Space group Cmce (No. 64)
Symmetry-distinct sites (fractional):
Ho  0.000  0.000  0.000 x4
Ho  0.138  0.175  0.326 x16
Cu  0.000  0.119  0.622 x8
Au  0.212  0.000  0.000 x8

(5)
DFT (PBE-GGA) results for YZnHgAu2 after structural relaxation.

Calculated values
ΔH_f (0 K)   2.4 eV per formula unit
Density   8.20 g/cm³

a b c (Å): 5.220 5.220 5.565
angles (deg): 90.00 90.00 90.00
Space group P4/mmm (No. 123)
Symmetry-distinct sites (fractional):
Y  0.000  0.000  0.000 x1
Zn  0.500  0.500  0.000 x1
Hg  0.000  0.000  0.500 x1
Au  0.000  0.500  0.500 x2

(6)
DFT (PBE-GGA) results for KLa2Hg after structural relaxation.

Calculated values
ΔH_f (0 K)   0.4 eV per formula unit
Density   6.03 g/cm³

a b c (Å): 4.029 5.823 12.142
angles (deg): 90.00 90.00 90.00
Space group Imm2 (No. 44)
Symmetry-distinct sites (fractional):
K  0.000  0.000  0.000 x2
La  0.000  0.000  0.566 x2
La  0.000  0.500  0.793 x2
Hg  0.000  0.500  0.274 x2

(7)
DFT (PBE-GGA) results for Ho6PbSe3S2 after structural relaxation.

Calculated values
Formation energy without anion corrections   -1.57 eV/atom
Density   8.67 g/cm³

a b c (Å): 17.812 4.038 8.216
angles (deg): 90.00 103.76 90.00
Space group C2/m (No. 12)
Symmetry-distinct sites (fractional):
Ho  0.009  0.000  0.266 x4
Ho  0.173  0.500  0.109 x4
Ho  0.173  0.500  0.573 x4
Pb  0.000  0.500  0.000 x2
Se  0.000  0.500  0.500 x2
Se  0.163  0.000  0.833 x4
S  0.169  0.000  0.339 x4

(8)
DFT (PBE-GGA) results for Tl3Pb4 after structural relaxation.

Calculated values
ΔH_f (0 K)   0.7 eV per formula unit
E above lowest polymorph   0.124 eV per atom
Density   10.46 g/cm³

a b c (Å): 9.710 9.710 9.710
angles (deg): 90.00 90.00 90.00
Space group I-43d (No. 220)
Symmetry-distinct sites (fractional):
Tl  0.000  0.250  0.375 x12
Pb  0.089  0.089  0.089 x16

(9)
DFT (PBE-GGA) results for Pr12Sm5Th2 after structural relaxation.

Calculated values
ΔH_f (0 K)   2.8 eV per formula unit
E above lowest polymorph   0.028 eV per atom
Density   7.08 g/cm³

a b c (Å): 22.851 7.171 8.884
angles (deg): 90.00 110.48 90.00
Space group C2/m (No. 12)
Symmetry-distinct sites (fractional):
Pr  0.047  0.000  0.203 x4
Pr  0.107  0.246  0.886 x8
Pr  0.135  0.500  0.541 x4
Pr  0.202  0.247  0.294 x8
Sm  0.000  0.500  0.000 x2
Sm  0.148  0.000  0.596 x4
Sm  0.249  0.500  0.993 x4
Th  0.000  0.249  0.500 x4

(10)
DFT (PBE-GGA) results for Cs3Na2SrBr6 after structural relaxation.

Calculated values
Formation energy without anion corrections   -1.60 eV/atom
Density   2.89 g/cm³

a b c (Å): 8.4220 8.4220 9.4505
angles (deg): 90.00 90.00 120.00
Space group P-3m1 (No. 164)
Symmetry-distinct sites (fractional):
Cs  0.0000  0.0000  0.0000 x1
Cs  0.3333  0.6667  0.6150 x2
Na  0.3333  0.6667  0.1551 x2
Sr  0.0000  0.0000  0.5000 x1
Br  0.1660  0.3320  0.3059 x6

(11)
DFT (PBE-GGA) results for AcPm2Dy after structural relaxation.

Calculated values
ΔH_f (0 K)   0.2 eV per formula unit
E above lowest polymorph   0.011 eV per atom
Density   7.79 g/cm³

a b c (Å): 3.7259 3.7259 36.1303
angles (deg): 90.00 90.00 120.00
Space group R3m (No. 160, hexagonal axes)
Symmetry-distinct sites (fractional):
Ac  0.0000  0.0000  0.0000 x3
Pm  0.0000  0.0000  0.2460 x3
Pm  0.0000  0.0000  0.4206 x3
Dy  0.0000  0.0000  0.8335 x3

(12)
DFT (PBE-GGA) results for V2GaGeP after structural relaxation.

Calculated values
ΔH_f (0 K)   4.7 eV per formula unit
Density   4.35 g/cm³

a b c (Å): 4.763 4.763 4.632
angles (deg): 90.00 90.00 90.00
Space group P4/mmm (No. 123)
Symmetry-distinct sites (fractional):
V  0.000  0.500  0.000 x2
Ga  0.000  0.000  0.500 x1
Ge  0.000  0.000  0.000 x1
P  0.500  0.500  0.500 x1

Number 1: DFT total energy -3.54 eV per atom, D(E_F) 18.92 states/eV/cell. Number 2: DFT total energy -3.85 eV per atom, D(E_F) 10.16 states/eV/cell. Number 3: DFT total energy -5.67 eV per atom, D(E_F) 13.69 states/eV/cell. Number 4: DFT total energy -4.66 eV per atom, D(E_F) 27.09 states/eV/cell. Number 5: DFT total energy -2.44 eV per atom, D(E_F) 3.48 states/eV/cell. Number 6: DFT total energy -2.72 eV per atom, D(E_F) 8.03 states/eV/cell. Number 7: DFT total energy -5.73 eV per atom, D(E_F) 8.45 states/eV/cell. Number 8: DFT total energy -3.03 eV per atom, D(E_F) 13.99 states/eV/cell. Number 9: DFT total energy -4.89 eV per atom, D(E_F) 59.26 states/eV/cell. Number 10: DFT total energy -3.01 eV per atom, D(E_F) 2.46 states/eV/cell. Number 11: DFT total energy -4.51 eV per atom, D(E_F) 16.59 states/eV/cell. Number 12: DFT total energy -5.32 eV per atom, D(E_F) 4.61 states/eV/cell.